The following is a DFT calculation (SCAN) of a crystal of Al2InSb relaxed with PBEsol.

excess energy over the best structure of this formula in the dataset = 15 meV per atom
energy relative to the elements, uncorrected = 180 meV per atom
space group = P4mm

Lattice parameters (Å, degrees): 3.4875 3.4875 7.2144 90.00 90.00 90.00
Fractional coordinates of all 4 atoms:
Al 0.5000 0.5000 0.2141
Al 0.0000 0.0000 0.0215
Sb 0.5000 0.5000 0.7968
In 0.0000 0.0000 0.4676

The following is a DFT calculation (SCAN) of a crystal of BeNi2 relaxed with PBEsol.

energy of formation = -0.265 eV/atom
space group = C2/m

Lattice parameters (Å, degrees): 2.4551 4.7082 5.2172 106.18 90.00 105.11
Site moments in Bohr magnetons follow the coordinates.
Fractional coordinates of all 6 atoms:
Ni 0.8083 0.6165 0.8555  0.21
Ni 0.5218 0.0436 0.7680  0.16
Ni 0.4782 0.9564 0.2320  0.16
Ni 0.1917 0.3835 0.1445  0.21
Be 0.8537 0.7073 0.4606  -0.01
Be 0.1463 0.2927 0.5394  -0.01

The following is a DFT calculation (SCAN) of a crystal of NaScS3 relaxed with PBEsol.

energy relative to the elements, uncorrected = -1023 meV per atom
space group = Pm-3m

Lattice parameters (Å, degrees): 4.9100 4.9100 4.9100 90.00 90.00 90.00
Site moments in Bohr magnetons follow the coordinates.
Fractional coordinates of all 5 atoms:
S 0.0000 0.5000 0.0000  0.31
S 0.0000 0.0000 0.5000  0.31
S 0.5000 0.0000 0.0000  0.31
Sc 0.0000 0.0000 0.0000  -0.04
Na 0.5000 0.5000 0.5000  0.00

The following is a DFT calculation (SCAN) of a crystal of Zr3BeCo relaxed with PBEsol.

energy of formation = 0.535 eV/atom
space group = Pm-3m

Lattice parameters (Å, degrees): 4.5776 4.5776 4.5776 90.00 90.00 90.00
Site moments in Bohr magnetons follow the coordinates.
Fractional coordinates of all 5 atoms:
Zr 0.0000 0.5000 0.0000  -0.04
Zr 0.0000 0.0000 0.5000  -0.04
Zr 0.5000 0.0000 0.0000  -0.04
Be 0.0000 0.0000 0.0000  0.01
Co 0.5000 0.5000 0.5000  1.96

The following is a DFT calculation (SCAN) of a crystal of ZrTiNi2 relaxed with PBEsol.

energy of formation = -0.351 eV/atom
space group = Fm-3m

Lattice parameters (Å, degrees): 4.3459 4.3459 4.3459 60.00 60.00 60.00
Fractional coordinates of all 4 atoms:
Ni 0.7500 0.7500 0.7500
Ni 0.2500 0.2500 0.2500
Zr 0.5000 0.5000 0.5000
Ti 0.0000 0.0000 0.0000

The following is a DFT calculation (SCAN) of a crystal of MgHgPt2 relaxed with PBEsol.

energy of formation = -0.499 eV/atom
space group = I4/mmm

Lattice parameters (Å, degrees): 4.0986 4.0986 4.8526 114.98 114.98 90.00
Fractional coordinates of all 4 atoms:
Pt 0.2500 0.7500 0.5000
Pt 0.7500 0.2500 0.5000
Mg 0.0000 0.0000 0.0000
Hg 0.5000 0.5000 0.0000

The following is a DFT calculation (SCAN) of a crystal of AcClO relaxed with PBEsol.

energy relative to the elements, uncorrected = -3507 meV per atom
space group = P4/nmm

Lattice parameters (Å, degrees): 4.2082 4.2082 7.0368 90.00 90.00 90.00
Fractional coordinates of all 6 atoms:
Cl 0.0000 0.5000 0.3687
Cl 0.5000 0.0000 0.6313
O 0.0000 0.0000 0.0000
O 0.5000 0.5000 0.0000
Ac 0.5000 0.0000 0.1796
Ac 0.0000 0.5000 0.8204

The following is a DFT calculation (SCAN) of a crystal of Hg3Bi2Te2Cl8 relaxed with PBEsol.

energy relative to the elements, uncorrected = -763 meV per atom
space group = C2/c

Lattice parameters (Å, degrees): 7.6447 9.5013 13.2883 103.67 90.00 113.72
Fractional coordinates of all 30 atoms:
Cl 0.3668 0.2011 0.2699
Cl 0.7193 0.6535 0.4772
Cl 0.8888 0.0012 0.1140
Cl 0.6332 0.7989 0.7301
Cl 0.1124 0.0012 0.6140
Cl 0.1112 0.9988 0.8860
Cl 0.3710 0.7979 0.4646
Cl 0.8343 0.2011 0.7699
Cl 0.9342 0.6535 0.9772
Cl 0.2807 0.3465 0.5228
Cl 0.6290 0.2021 0.5354
Cl 0.5731 0.2021 0.0354
Cl 0.4269 0.7979 0.9646
Cl 0.8876 0.9988 0.3860
Cl 0.0658 0.3465 0.0228
Cl 0.1657 0.7989 0.2301
Te 0.4203 0.3231 0.8033
Te 0.9028 0.3231 0.3033
Te 0.5797 0.6769 0.1967
Te 0.0972 0.6769 0.6967
Hg 0.5000 0.5000 0.0000
Hg 0.2310 0.4828 0.7515
Hg 0.2518 0.4828 0.2515
Hg 0.0000 0.5000 0.5000
Hg 0.7482 0.5172 0.7485
Hg 0.7690 0.5172 0.2485
Bi 0.7993 0.0697 0.9341
Bi 0.7296 0.9303 0.5659
Bi 0.2704 0.0697 0.4341
Bi 0.2007 0.9303 0.0659

The following is a DFT calculation (SCAN) of a crystal of TlAg4Pb relaxed with PBEsol.

energy of formation = 0.096 eV/atom
space group = F-43m

Lattice parameters (Å, degrees): 5.5599 5.5599 5.5599 60.00 60.00 60.00
Fractional coordinates of all 6 atoms:
Pb 0.7500 0.7500 0.7500
Tl 0.0000 0.0000 0.0000
Ag 0.3749 0.8752 0.3749
Ag 0.8752 0.3749 0.3749
Ag 0.3749 0.3749 0.3749
Ag 0.3749 0.3749 0.8752

The following is a DFT calculation (SCAN) of a crystal of BaGaTeCl2 relaxed with PBEsol.

energy relative to the elements, uncorrected = -801 meV per atom
space group = P4/mmm

Lattice parameters (Å, degrees): 5.6613 5.6613 14.3069 90.00 90.00 90.00
Site moments in Bohr magnetons follow the coordinates.
Fractional coordinates of all 5 atoms:
Te 0.5000 0.5000 0.5000  0.48
Ga 0.0000 0.0000 0.5000  -0.01
Ba 0.0000 0.0000 0.0000  0.00
Cl 0.0000 0.5000 0.0000  0.00
Cl 0.5000 0.0000 0.0000  0.00

The following is a DFT calculation (SCAN) of a crystal of CaZnSi2 relaxed with PBEsol.

energy relative to the elements, uncorrected = -160 meV per atom
space group = C2/m

Lattice parameters (Å, degrees): 3.7333 4.4250 5.4319 105.96 90.00 114.95
Fractional coordinates of all 4 atoms:
Si 0.2621 0.5242 0.3545
Si 0.7379 0.4758 0.6455
Ca 0.5000 0.0000 0.0000
Zn 0.0000 0.0000 0.5000

The following is a DFT calculation (SCAN) of a crystal of Cr2Mo2Pt relaxed with PBEsol.

energy of formation = 0.693 eV/atom
space group = I4/mmm

Lattice parameters (Å, degrees): 3.9418 3.9418 5.5292 110.88 110.88 90.00
Fractional coordinates of all 5 atoms:
Cr 0.6092 0.6092 0.2183
Cr 0.3908 0.3908 0.7817
Mo 0.7500 0.2500 0.5000
Mo 0.2500 0.7500 0.5000
Pt 0.0000 0.0000 0.0000